Here is an optimized crystal structure of Ac2FeRhO8 from Alexandria via LeMat-Bulk. Energies are from PBE+U.

Calculated values
* total energy: -6.869 eV per atom

a b c (Å): 11.412 4.827 6.298
angles (deg): 90.00 90.58 90.00
Space group C2/m (No. 12)
Asymmetric unit:
Ac  0.188  0.000  0.254
Fe  0.000  0.500  0.500
Rh  0.000  0.500  0.000
O  0.012  0.243  0.752
O  0.164  0.500  0.467
O  0.169  0.500  0.036